(1)
The following is a DFT calculation (PBE) of a geometry-optimized YCd2RuO6 structure.

Cell: 4.5725 5.7922 5.7922 Å, 90.00 90.00 90.00°
With the nearest neighbours (Å) after each atom.
Fractional positions:
Y 0.6225 0.5000 0.5000  6 O 2.17-2.40
Cd 0.9763 0.5000 0.0000  4 O 2.36
Cd 0.9763 0.0000 0.5000  4 O 2.36
Ru 0.6026 0.0000 0.0000  5 O 1.74-1.95
O 0.7246 0.2275 0.2275  1 Ru 1.95
O 0.7246 0.2275 0.7725  1 Ru 1.95
O 0.1481 0.5000 0.5000  2 Y 2.17-2.40
O 0.2226 0.0000 0.0000  1 Ru 1.74
O 0.7246 0.7725 0.7725  1 Ru 1.95
O 0.7246 0.7725 0.2275  1 Ru 1.95

Summary:
As for the space-group type: P4mm. The value obtained for the formation energy (no corrections) is -1347 meV per atom. For the volume, the calculation gives 15.34 Å³/atom.

=====

(2)
The following is a DFT calculation (PBE) of a geometry-optimized ZnCd2RuO6 structure.

Cell: 5.4397 5.5371 7.8402 Å, 90.00 90.26 90.00°
With the nearest neighbours (Å) after each atom.
Fractional positions:
Zn 0.5000 0.0000 0.0000  6 O 2.10-2.14
Zn 0.0000 0.5000 0.5000  6 O 2.10-2.14
Cd 0.0082 0.9523 0.2511  4 O 2.26-2.34
Cd 0.5082 0.5477 0.7511  4 O 2.26-2.34
Cd 0.9918 0.0477 0.7489  4 O 2.26-2.34
Cd 0.4918 0.4523 0.2489  4 O 2.26-2.34
Ru 0.5000 0.0000 0.5000  6 O 1.94-1.97
Ru 0.0000 0.5000 0.0000  6 O 1.94-1.97
O 0.2940 0.6870 0.0501  1 Ru 1.94, 1 Zn 2.10
O 0.7940 0.8130 0.5501  1 Ru 1.94, 1 Zn 2.10
O 0.7060 0.3130 0.9499  1 Ru 1.94, 1 Zn 2.10
O 0.2060 0.1870 0.4499  1 Ru 1.94, 1 Zn 2.10
O 0.3198 0.7078 0.4401  1 Ru 1.95, 1 Zn 2.14
O 0.8198 0.7922 0.9401  1 Ru 1.95, 1 Zn 2.14
O 0.6802 0.2922 0.5599  1 Ru 1.95, 1 Zn 2.14
O 0.1802 0.2078 0.0599  1 Ru 1.95, 1 Zn 2.14
O 0.8967 0.5450 0.2389  1 Ru 1.97, 1 Zn 2.13
O 0.3967 0.9550 0.7389  1 Ru 1.97, 1 Zn 2.13
O 0.1033 0.4550 0.7611  1 Ru 1.97, 1 Zn 2.13
O 0.6033 0.0450 0.2611  1 Ru 1.97, 1 Zn 2.13

Summary:
As for the space-group type: P2_1/c. The value obtained for the formation energy (no corrections) is -945 meV per atom. For the volume, the calculation gives 11.81 Å³/atom.

=====

(3)
The following is a DFT calculation (PBE) of a geometry-optimized CdSO4 structure.

Cell: 5.7067 5.7067 6.3762 Å, 90.00 90.00 120.00°
With the nearest neighbours (Å) after each atom.
Fractional positions:
Cd 0.0000 0.0000 0.5118  6 O 2.20-2.33
Cd 0.3333 0.6667 0.3313  1 O 2.13
S 0.3333 0.6667 0.7685  4 O 1.46-1.48
S 0.6667 0.3333 0.2089  4 O 1.44-1.52
O 0.3333 0.6667 0.9970  1 S 1.46
O 0.6667 0.3333 0.9836  1 S 1.44
O 0.3808 0.1904 0.2970  1 S 1.52
O 0.8096 0.1904 0.2970  1 S 1.52
O 0.8096 0.6192 0.2970  1 S 1.52
O 0.6121 0.8060 0.6815  1 S 1.48
O 0.1940 0.8060 0.6815  1 S 1.48
O 0.1940 0.3879 0.6815  1 S 1.48

Summary:
As for the space-group type: P3m1. The value obtained for the formation energy (no corrections) is -1179 meV per atom. For the volume, the calculation gives 14.99 Å³/atom.